#w
Density functional theory data (PBE-GGA) for LiTlSb2 after structural relaxation.

For the magnetic moment, the calculation gives 0.000 μB per formula unit.

a b c (Å): 3.4234 3.4234 31.1323
angles (deg): 90.00 90.00 120.00
Space group R-3m (No. 166, hexagonal axes)
Asymmetric unit:
Li 0.0000 0.0000 0.0000 (multiplicity 3)
Tl 0.0000 0.0000 0.5000 (multiplicity 3)
Sb 0.0000 0.0000 0.2611 (multiplicity 6)

#x
Density functional theory data (PBE-GGA) for LiTlSb2 after structural relaxation.

For the magnetic moment, the calculation gives 0.000 μB per formula unit.

a b c (Å): 4.441 4.702 5.082
angles (deg): 90.00 90.00 90.00
Space group Pmmm (No. 47)
Asymmetric unit:
Li 0.000 0.000 0.000 (multiplicity 1)
Tl 0.500 0.500 0.000 (multiplicity 1)
Sb 0.000 0.500 0.500 (multiplicity 1)
Sb 0.500 0.000 0.500 (multiplicity 1)

#y
Density functional theory data (PBE-GGA) for LiTlSb2 after structural relaxation.

For the magnetic moment, the calculation gives 0.000 μB per formula unit.

a b c (Å): 7.577 5.097 6.589
angles (deg): 90.00 117.99 90.00
Space group C2/m (No. 12)
Asymmetric unit:
Li 0.000 0.000 0.000 (multiplicity 2)
Tl 0.000 0.500 0.500 (multiplicity 2)
Sb 0.202 0.500 0.179 (multiplicity 4)

#x comes first in stability; the runner-up is 3.1 kJ/mol of atoms higher.